No. 1
DFT (PBE) results for an optimized crystal structure of TmZn2Ga4.

Cell lengths 4.0671, 4.0671, 30.1751 Å; angles 90.00, 90.00, 120.00 degrees
Space group R-3m (No. 166, hexagonal axes)
Inequivalent atoms, fractional coordinates:
Tm1 0.0000 0.0000 0.0000 [3 per cell]
Zn1 0.0000 0.0000 0.1866 [6 per cell]
Ga1 0.0000 0.0000 0.1009 [6 per cell]
Ga2 0.0000 0.0000 0.2720 [6 per cell]

Computed properties:
- relative energy among the computed polymorphs (meV per atom) = 35
- energy relative to the elements (meV/atom) = -186.2

=====

No. 2
DFT (PBE) results for an optimized crystal structure of Sc2PdPt2.

Cell lengths 7.549, 7.549, 3.214 Å; angles 90.00, 90.00, 90.00 degrees
Space group P4/mbm (No. 127)
Inequivalent atoms, fractional coordinates:
Sc1 0.160 0.340 0.000 [4 per cell]
Pd1 0.000 0.000 0.000 [2 per cell]
Pt1 0.138 0.638 0.500 [4 per cell]

Computed properties:
- relative energy among the computed polymorphs (meV per atom) = 0
- energy relative to the elements (meV/atom) = -909.0

=====

No. 3
DFT (PBE) results for an optimized crystal structure of Sr2LiFeN.

Cell lengths 5.500, 5.500, 3.607 Å; angles 90.00, 90.00, 90.00 degrees
Space group P4/mmm (No. 123)
Inequivalent atoms, fractional coordinates:
Sr1 0.000 0.500 0.000 [2 per cell]
Li1 0.000 0.000 0.500 [1 per cell]
Fe1 0.500 0.500 0.500 [1 per cell]
N1 0.500 0.500 0.000 [1 per cell]

=====

The records above yield total DFT energy (no corrections) values of -2.9186, -6.8965, -4.6010 eV per atom, respectively.